Entry from Alexandria: an optimized crystal structure of Rb2LiPuO6 (PBE-GGA).

Cell: 6.068 6.066 6.062 Å, 60.04 60.01 59.95°
Positions (direct):
Rb (0.250, 0.250, 0.250)
Rb (0.750, 0.750, 0.750)
Li (0.000, 0.000, 0.000)
Pu (0.500, 0.500, 0.500)
O (0.271, 0.729, 0.271)
O (0.271, 0.729, 0.729)
O (0.272, 0.272, 0.728)
O (0.728, 0.728, 0.272)
O (0.729, 0.271, 0.271)
O (0.729, 0.271, 0.729)

Output
energy	-6.595	eV per atom
formation energy (no corrections)	-173.87	kJ per mole of atoms

Entry from Alexandria: an optimized crystal structure of PmZnAu3 (PBE-GGA).

Cell: 9.108 4.847 9.303 Å, 90.00 90.00 90.00°
Positions (direct):
Pm (0.238, 0.250, 0.004)
Pm (0.262, 0.750, 0.504)
Pm (0.738, 0.250, 0.496)
Pm (0.762, 0.750, 0.996)
Zn (0.102, 0.250, 0.666)
Zn (0.398, 0.750, 0.166)
Zn (0.602, 0.250, 0.834)
Zn (0.898, 0.750, 0.334)
Au (0.077, 0.250, 0.387)
Au (0.107, 0.750, 0.846)
Au (0.111, 0.750, 0.160)
Au (0.389, 0.250, 0.660)
Au (0.393, 0.250, 0.346)
Au (0.423, 0.750, 0.887)
Au (0.577, 0.250, 0.113)
Au (0.607, 0.750, 0.654)
Au (0.611, 0.750, 0.340)
Au (0.889, 0.250, 0.840)
Au (0.893, 0.250, 0.154)
Au (0.923, 0.750, 0.613)

Output
energy	-3.732	eV per atom
distance to the lowest polymorph of the same formula	0	meV per atom
energy of formation	-0.56	eV per atom

Entry from Alexandria: an optimized crystal structure of Li2CrCo (PBE-GGA).

Cell: 3.996 3.996 3.996 Å, 119.94 119.94 90.11°
Positions (direct):
Li (0.000, 0.000, 0.000)
Li (0.750, 0.250, 0.500)
Cr (0.250, 0.750, 0.500)
Co (0.500, 0.500, 0.000)

Output
energy	-4.729	eV per atom
distance to the lowest polymorph of the same formula	152	meV per atom
energy of formation	0.41	eV per atom